The following is a DFT calculation (PBE-GGA) of an optimized crystal structure of Na5In2Te6.

Output
Formation energy without anion corrections (eV/atom): -0.702
Raw total energy (eV for the cell shown): -160.2

Structure (POSCAR):
```
Na5In2Te6
1.0
8.9781 0.0089 0.0000
-4.3330 7.8633 0.0000
0.0000 0.0000 23.8437
Na Te In
20 24 8
direct
0.4359 0.0840 0.0882 Na
0.5033 0.9880 0.2532 Na
0.5641 0.9160 0.5882 Na
0.7421 0.7578 0.7470 Na
0.4967 0.0120 0.7532 Na
0.4322 0.1828 0.5000 Na
0.1828 0.4322 0.0000 Na
0.8372 0.6879 0.9119 Na
0.7578 0.7421 0.2470 Na
0.5678 0.8172 0.0000 Na
0.2422 0.2579 0.7470 Na
0.1628 0.3121 0.4119 Na
0.9880 0.5033 0.7532 Na
0.6879 0.8372 0.4119 Na
0.9160 0.5641 0.0882 Na
0.8172 0.5678 0.5000 Na
0.0840 0.4359 0.5882 Na
0.2579 0.2422 0.2470 Na
0.3121 0.1628 0.9119 Na
0.0120 0.4967 0.2532 Na
0.3670 0.6330 0.6903 Te
0.9697 0.0303 0.9986 Te
0.1246 0.8754 0.1759 Te
0.8663 0.6092 0.6411 Te
0.6330 0.3670 0.1903 Te
0.3908 0.1337 0.6411 Te
0.1179 0.8821 0.8090 Te
0.7966 0.2034 0.4912 Te
0.6202 0.8621 0.8595 Te
0.2034 0.7966 0.9912 Te
0.3738 0.6262 0.3250 Te
0.8621 0.6202 0.3595 Te
0.8821 0.1179 0.3090 Te
0.0303 0.9697 0.4986 Te
0.6262 0.3738 0.8250 Te
0.8754 0.1246 0.6759 Te
0.7797 0.2203 0.0039 Te
0.3798 0.1379 0.3595 Te
0.4523 0.5477 0.5075 Te
0.2203 0.7797 0.5039 Te
0.6092 0.8663 0.1411 Te
0.1379 0.3798 0.8595 Te
0.1337 0.3908 0.1411 Te
0.5477 0.4523 0.0075 Te
0.9679 0.0321 0.1194 In
0.2190 0.7810 0.3833 In
0.7374 0.2626 0.3789 In
0.5106 0.4894 0.6199 In
0.7810 0.2190 0.8833 In
0.4894 0.5106 0.1199 In
0.2626 0.7374 0.8789 In
0.0321 0.9679 0.6194 In
```